Na2GaHgH | PBE | optimized geometry

Values from the calculation:
uncorrected energy = -1.8888 eV per atom

Unit cell a=4.576 b=4.576 c=4.639 alpha=90.00 beta=90.00 gamma=90.00
Fractional coordinates of all 5 atoms:
Na (0.000, 0.500, 0.000)
H (0.000, 0.000, 0.000)
Na (0.500, 0.000, 0.000)
Hg (0.500, 0.500, 0.500)
Ga (0.000, 0.000, 0.500)

***

Ga2HgHPt | PBE | optimized geometry

Values from the calculation:
uncorrected energy = -3.2489 eV per atom

Unit cell a=5.001 b=5.001 c=3.602 alpha=90.00 beta=90.00 gamma=90.00
Fractional coordinates of all 5 atoms:
Ga (0.000, 0.500, 0.000)
H (0.000, 0.000, 0.500)
Ga (0.500, 0.000, 0.000)
Hg (0.500, 0.500, 0.500)
Pt (0.000, 0.000, 0.000)

***

RbGa2HgH | PBE | optimized geometry

Values from the calculation:
uncorrected energy = -1.8334 eV per atom

Unit cell a=4.621 b=5.946 c=4.621 alpha=90.00 beta=90.00 gamma=90.00
Fractional coordinates of all 5 atoms:
Hg (0.000, 0.500, 0.000)
Rb (0.500, 0.500, 0.500)
Ga (0.500, 0.000, 0.000)
H (0.000, 0.000, 0.000)
Ga (0.000, 0.000, 0.500)

***

Sr2GaHgH | PBE | optimized geometry

Values from the calculation:
uncorrected energy = -2.3764 eV per atom

Unit cell a=5.470 b=5.470 c=4.115 alpha=90.00 beta=90.00 gamma=90.00
Fractional coordinates of all 5 atoms:
H (0.000, 0.000, 0.000)
Hg (0.500, 0.500, 0.500)
Sr (0.500, 0.000, 0.000)
Sr (0.000, 0.500, 0.000)
Ga (0.000, 0.000, 0.500)

***

TiGaHg2H | PBE | optimized geometry

Values from the calculation:
uncorrected energy = -2.0208 eV per atom

Unit cell a=5.041 b=5.037 c=5.041 alpha=90.00 beta=90.00 gamma=90.00
Fractional coordinates of all 5 atoms:
Ti (0.000, 0.500, 0.000)
Ga (0.000, 0.000, 0.000)
Hg (0.000, 0.000, 0.500)
H (0.500, 0.500, 0.500)
Hg (0.500, 0.000, 0.000)

***

YGaHg2H | PBE | optimized geometry

Values from the calculation:
uncorrected energy = -2.4975 eV per atom

Unit cell a=5.995 b=3.915 c=5.995 alpha=90.00 beta=90.00 gamma=90.00
Fractional coordinates of all 5 atoms:
Y (0.000, 0.000, 0.000)
Hg (0.000, 0.000, 0.500)
Hg (0.500, 0.000, 0.000)
H (0.000, 0.500, 0.000)
Ga (0.500, 0.500, 0.500)

***

Ho12Ga3H5 | PBE | optimized geometry

Values from the calculation:
uncorrected energy = -4.3520 eV per atom

Unit cell a=13.152 b=13.152 c=13.152 alpha=109.47 beta=109.47 gamma=109.47
Fractional coordinates of all 80 atoms:
Ga (0.625, 0.375, 0.750)
Ho (0.904, 0.095, 0.614)
Ho (0.020, 0.614, 0.710)
Ga (0.750, 0.875, 0.625)
Ga (0.250, 0.125, 0.375)
H (0.500, 0.000, 0.500)
Ho (0.404, 0.114, 0.595)
H (0.500, 0.500, 0.500)
H (0.875, 0.250, 0.625)
Ga (0.875, 0.750, 0.125)
Ho (0.114, 0.404, 0.095)
Ho (0.191, 0.095, 0.980)
Ho (0.886, 0.290, 0.480)
H (0.500, 0.500, 0.000)
Ga (0.625, 0.250, 0.375)
H (0.750, 0.625, 0.375)
Ho (0.809, 0.905, 0.020)
Ho (0.095, 0.191, 0.480)
Ga (0.875, 0.125, 0.250)
Ga (0.250, 0.625, 0.875)
H (0.000, 0.000, 0.000)
Ga (0.750, 0.375, 0.125)
H (0.625, 0.875, 0.250)
Ho (0.905, 0.096, 0.886)
Ho (0.096, 0.191, 0.210)
Ho (0.480, 0.691, 0.095)
Ho (0.691, 0.210, 0.596)
Ho (0.710, 0.114, 0.020)
Ho (0.905, 0.809, 0.520)
H (0.750, 0.125, 0.875)
Ho (0.596, 0.710, 0.691)
Ho (0.980, 0.386, 0.290)
Ho (0.691, 0.480, 0.595)
Ho (0.904, 0.809, 0.790)
Ho (0.290, 0.886, 0.980)
Ho (0.290, 0.404, 0.809)
Ho (0.596, 0.886, 0.405)
Ho (0.520, 0.309, 0.905)
H (0.000, 0.500, 0.000)
Ho (0.191, 0.096, 0.710)
Ho (0.210, 0.520, 0.614)
H (0.250, 0.375, 0.625)
Ho (0.405, 0.020, 0.309)
H (0.000, 0.000, 0.500)
Ho (0.790, 0.309, 0.904)
Ho (0.386, 0.405, 0.096)
H (0.125, 0.375, 0.250)
Ho (0.480, 0.790, 0.886)
Ga (0.375, 0.750, 0.625)
H (0.000, 0.500, 0.500)
Ho (0.790, 0.480, 0.386)
Ho (0.309, 0.790, 0.404)
H (0.625, 0.750, 0.875)
H (0.125, 0.750, 0.375)
Ho (0.710, 0.596, 0.191)
Ga (0.125, 0.250, 0.875)
Ho (0.020, 0.405, 0.809)
Ho (0.309, 0.520, 0.405)
H (0.250, 0.875, 0.125)
Ho (0.614, 0.595, 0.904)
Ho (0.386, 0.980, 0.790)
H (0.375, 0.250, 0.125)
Ga (0.125, 0.875, 0.750)
H (0.500, 0.000, 0.000)
Ho (0.595, 0.614, 0.404)
Ho (0.096, 0.905, 0.386)
H (0.875, 0.625, 0.750)
Ho (0.210, 0.691, 0.096)
Ho (0.809, 0.904, 0.290)
Ho (0.614, 0.020, 0.210)
Ho (0.114, 0.710, 0.520)
Ga (0.375, 0.625, 0.250)
H (0.375, 0.125, 0.750)
Ho (0.405, 0.386, 0.596)
Ho (0.520, 0.210, 0.114)
Ho (0.404, 0.290, 0.309)
Ho (0.595, 0.980, 0.691)
Ho (0.980, 0.595, 0.191)
Ho (0.886, 0.596, 0.905)
Ho (0.095, 0.904, 0.114)

***

Ho3Ga2H | PBE | optimized geometry

Values from the calculation:
uncorrected energy = -4.3520 eV per atom

Unit cell a=6.009 b=8.101 c=6.266 alpha=101.99 beta=118.65 gamma=90.00
Fractional coordinates of all 12 atoms:
Ho (0.375, 0.250, 0.000)
Ho (0.979, 0.848, 0.705)
Ho (0.274, 0.652, 0.295)
H (0.024, 0.250, 0.000)
Ga (0.791, 0.511, 0.314)
Ga (0.477, 0.989, 0.686)
Ga (0.523, 0.011, 0.314)
Ga (0.209, 0.489, 0.686)
Ho (0.726, 0.348, 0.705)
Ho (0.021, 0.152, 0.295)
Ho (0.625, 0.750, 0.000)
H (0.976, 0.750, 0.000)

***

HoGaH | PBE | optimized geometry

Values from the calculation:
energy above the lowest structure with this stoichiometry = 0.0 kJ per mole of atoms

Unit cell a=3.917 b=5.961 c=16.767 alpha=90.00 beta=90.00 gamma=90.00
Fractional coordinates of all 24 atoms:
H (0.500, 0.069, 0.904)
Ga (0.000, 0.338, 0.000)
H (0.000, 0.555, 0.806)
Ho (0.500, 0.121, 0.605)
H (0.500, 0.445, 0.306)
Ga (0.500, 0.877, 0.237)
Ho (0.000, 0.617, 0.664)
Ga (0.000, 0.378, 0.500)
Ho (0.500, 0.121, 0.395)
Ga (0.500, 0.662, 0.500)
H (0.000, 0.931, 0.596)
Ga (0.500, 0.877, 0.763)
H (0.500, 0.069, 0.096)
H (0.500, 0.445, 0.694)
Ga (0.500, 0.622, 0.000)
H (0.000, 0.931, 0.404)
H (0.000, 0.555, 0.194)
Ho (0.000, 0.879, 0.895)
Ho (0.500, 0.383, 0.836)
Ho (0.000, 0.617, 0.336)
Ga (0.000, 0.123, 0.263)
Ho (0.500, 0.383, 0.164)
Ga (0.000, 0.123, 0.737)
Ho (0.000, 0.879, 0.105)

***

HoGaH | PBE | optimized geometry

Values from the calculation:
energy above the lowest structure with this stoichiometry = 33.6 kJ per mole of atoms

Unit cell a=3.096 b=3.096 c=5.853 alpha=105.33 beta=105.33 gamma=90.00
Fractional coordinates of all 3 atoms:
H (0.062, 0.062, 0.124)
Ho (0.608, 0.608, 0.217)
Ga (0.329, 0.329, 0.659)

***

HoGa2H6 | PBE | optimized geometry

Values from the calculation:
uncorrected energy = -2.9701 eV per atom

Unit cell a=5.241 b=5.241 c=5.241 alpha=60.00 beta=60.00 gamma=60.00
Fractional coordinates of all 9 atoms:
Ho (0.000, 0.000, 0.000)
Ga (0.750, 0.750, 0.750)
Ga (0.250, 0.250, 0.250)
H (0.278, 0.278, 0.722)
H (0.278, 0.722, 0.278)
H (0.722, 0.722, 0.278)
H (0.722, 0.278, 0.278)
H (0.278, 0.722, 0.722)
H (0.722, 0.278, 0.722)

***

Ho2GaNi12H3 | PBE | optimized geometry

Values from the calculation:
uncorrected energy = -5.2131 eV per atom

Unit cell a=6.832 b=6.832 c=6.832 alpha=56.93 beta=56.93 gamma=56.93
Fractional coordinates of all 18 atoms:
Ni (0.278, 0.901, 0.278)
Ni (0.901, 0.278, 0.278)
Ni (0.861, 0.454, 0.861)
Ni (0.099, 0.722, 0.722)
Ni (0.722, 0.722, 0.099)
Ga (0.000, 0.000, 0.000)
H (0.500, 0.000, 0.000)
Ni (0.454, 0.861, 0.861)
Ni (0.139, 0.546, 0.139)
Ho (0.597, 0.597, 0.597)
Ni (0.722, 0.099, 0.722)
Ni (0.861, 0.861, 0.454)
Ni (0.139, 0.139, 0.546)
Ni (0.278, 0.278, 0.901)
H (0.000, 0.000, 0.500)
Ni (0.546, 0.139, 0.139)
Ho (0.403, 0.403, 0.403)
H (0.000, 0.500, 0.000)

***

HoGaH2O4 | PBE | optimized geometry

Values from the calculation:
uncorrected energy = -6.2165 eV per atom

Unit cell a=4.564 b=4.639 c=4.639 alpha=72.30 beta=60.53 gamma=60.53
Fractional coordinates of all 8 atoms:
Ho (0.000, 0.000, 0.000)
O (0.979, 0.444, 0.168)
H (0.187, 0.313, 0.313)
O (0.591, 0.556, 0.832)
Ga (0.500, 0.500, 0.500)
H (0.813, 0.687, 0.687)
O (0.021, 0.832, 0.556)
O (0.409, 0.168, 0.444)

***

HoGaHRh2 | PBE | optimized geometry

Values from the calculation:
uncorrected energy = -5.8264 eV per atom

Unit cell a=3.281 b=6.079 c=7.571 alpha=90.00 beta=90.00 gamma=105.65
Fractional coordinates of all 10 atoms:
H (0.000, 0.000, 0.500)
Ho (0.525, 0.049, 0.250)
Ga (0.747, 0.494, 0.750)
H (0.000, 0.000, 0.000)
Rh (0.855, 0.710, 0.043)
Rh (0.145, 0.290, 0.543)
Ga (0.253, 0.506, 0.250)
Rh (0.145, 0.290, 0.957)
Ho (0.475, 0.951, 0.750)
Rh (0.855, 0.710, 0.457)

***

HoGa2HRu2 | PBE | optimized geometry

Values from the calculation:
uncorrected energy = -5.8357 eV per atom

Unit cell a=4.123 b=4.123 c=5.274 alpha=90.00 beta=90.00 gamma=90.00
Fractional coordinates of all 6 atoms:
Ru (0.500, 0.000, 0.000)
Ga (0.500, 0.500, 0.730)
Ho (0.000, 0.000, 0.500)
H (0.000, 0.000, 0.000)
Ga (0.500, 0.500, 0.270)
Ru (0.000, 0.500, 0.000)

***

Ho4GaHS2 | PBE | optimized geometry

Values from the calculation:
uncorrected energy = -5.2819 eV per atom

Unit cell a=5.533 b=5.533 c=6.790 alpha=114.24 beta=114.24 gamma=89.57
Fractional coordinates of all 8 atoms:
Ho (0.690, 0.690, 0.493)
Ho (0.969, 0.431, 0.000)
S (0.194, 0.694, 0.500)
S (0.694, 0.194, 0.500)
H (0.393, 0.393, 0.000)
Ho (0.431, 0.969, 0.000)
Ga (0.930, 0.930, 0.000)
Ho (0.197, 0.197, 0.507)

***

GaH3I | PBE | optimized geometry

Values from the calculation:
energy above the lowest structure with this stoichiometry = 0.0 kJ per mole of atoms

Unit cell a=4.687 b=9.899 c=5.099 alpha=101.09 beta=91.08 gamma=73.34
Fractional coordinates of all 10 atoms:
Ga (0.119, 0.576, 0.821)
H (0.130, 0.938, 0.221)
H (0.974, 0.676, 0.622)
H (0.911, 0.634, 0.114)
H (0.603, 0.511, 0.369)
I (0.230, 0.309, 0.705)
Ga (0.578, 0.650, 0.264)
I (0.858, 0.031, 0.064)
H (0.440, 0.813, 0.377)
H (0.414, 0.625, 0.951)

***

GaHI2 | PBE | optimized geometry

Values from the calculation:
energy above the lowest structure with this stoichiometry = 46.6 kJ per mole of atoms

Unit cell a=7.171 b=7.171 c=6.802 alpha=58.19 beta=58.19 gamma=90.00
Fractional coordinates of all 8 atoms:
Ga (0.000, 0.000, 0.000)
Ga (0.750, 0.250, 0.500)
I (0.375, 0.467, 0.750)
I (0.217, 0.625, 0.250)
I (0.533, 0.125, 0.250)
H (0.500, 0.500, 0.000)
I (0.875, 0.783, 0.750)
H (0.250, 0.750, 0.500)

***

Ga3HI | PBE | optimized geometry

Values from the calculation:
uncorrected energy = -2.4982 eV per atom

Unit cell a=4.821 b=4.821 c=4.821 alpha=90.00 beta=90.00 gamma=90.00
Fractional coordinates of all 5 atoms:
I (0.500, 0.500, 0.500)
Ga (0.000, 0.500, 0.000)
Ga (0.500, 0.000, 0.000)
H (0.000, 0.000, 0.000)
Ga (0.000, 0.000, 0.500)

***

GaHI5 | PBE | optimized geometry

Values from the calculation:
uncorrected energy = -2.1932 eV per atom

Unit cell a=12.068 b=8.721 c=14.073 alpha=90.00 beta=90.00 gamma=90.00
Last column: magnetic moment on the atom in μB.
Fractional coordinates of all 28 atoms:
I (0.426, 0.307, 0.404)  0.08
I (0.750, 0.149, 0.204)  0.29
H (0.750, 0.411, 0.818)  -0.01
H (0.250, 0.911, 0.682)  -0.01
I (0.250, 0.649, 0.296)  0.29
I (0.750, 0.415, 0.991)  0.02
I (0.250, 0.585, 0.009)  0.02
I (0.750, 0.351, 0.704)  0.29
Ga (0.250, 0.355, 0.892)  -0.01
I (0.250, 0.484, 0.720)  0.26
I (0.074, 0.193, 0.904)  0.08
I (0.574, 0.807, 0.096)  0.08
H (0.750, 0.089, 0.318)  -0.01
I (0.574, 0.693, 0.596)  0.08
I (0.750, 0.984, 0.780)  0.26
I (0.750, 0.085, 0.491)  0.02
I (0.426, 0.193, 0.904)  0.08
Ga (0.750, 0.855, 0.608)  -0.01
I (0.250, 0.016, 0.220)  0.26
I (0.250, 0.915, 0.509)  0.02
Ga (0.750, 0.645, 0.108)  -0.01
I (0.750, 0.516, 0.280)  0.26
I (0.250, 0.851, 0.796)  0.29
Ga (0.250, 0.145, 0.392)  -0.01
H (0.250, 0.589, 0.182)  -0.01
I (0.926, 0.693, 0.596)  0.08
I (0.074, 0.307, 0.404)  0.08
I (0.926, 0.807, 0.096)  0.08